Entry 1:
{
  "formula": "Ce2VZnN5",
  "functional": "PBE-GGA",
  "state": "optimized geometry",
  "space_group": "No. 36",
  "total_energy_ev_per_atom": -7.920,
  "crystal_system": "orthorhombic",
  "magmom_total_mub_per_cell": 0.00,
  "dos_at_fermi_per_ev_atom": 0.3275,
  "lattice": [[3.2416, 0.0000, 0.0000], [-1.6208, 6.9308, 0.0000], [0.0000, 0.0000, 9.6701]],
  "species": ["Zn", "Zn", "N", "N", "N", "N", "N", "N", "N", "N", "N", "N", "Ce", "Ce", "Ce", "Ce", "V", "V"],
  "fractional_positions": [[0.4878, 0.9756, 0.4867], [0.5122, 0.0244, 0.9867], [0.3610, 0.7219, 0.0102], [0.2833, 0.5666, 0.6460], [0.6390, 0.2781, 0.5102], [0.5004, 0.0008, 0.7716], [0.2893, 0.5787, 0.3673], [0.4996, 0.9992, 0.2716], [0.0842, 0.1683, 0.0297], [0.9158, 0.8317, 0.5297], [0.7107, 0.4213, 0.8673], [0.7167, 0.4334, 0.1460], [0.8762, 0.7525, 0.2107], [0.1238, 0.2475, 0.7107], [0.1294, 0.2587, 0.2940], [0.8706, 0.7413, 0.7940], [0.2176, 0.4351, 0.0076], [0.7824, 0.5649, 0.5076]]
}

Entry 2:
{
  "formula": "Ce2ZrVN5",
  "functional": "PBE-GGA",
  "state": "optimized geometry",
  "space_group": "No. 36",
  "total_energy_ev_per_atom": -9.271,
  "crystal_system": "orthorhombic",
  "magmom_total_mub_per_cell": 2.60,
  "dos_at_fermi_per_ev_atom": 0.7770,
  "lattice": [[-2.2527, -2.4776, -0.2823], [4.1783, -2.1046, 5.1321], [-6.0718, 4.7360, 6.8855]],
  "species": ["Ce", "Ce", "Ce", "Ce", "N", "N", "N", "N", "N", "N", "N", "N", "N", "N", "Zr", "Zr", "V", "V"],
  "fractional_positions": [[0.8575, 0.7150, 0.7952], [0.8864, 0.7729, 0.1947], [0.1425, 0.2850, 0.2952], [0.1136, 0.2271, 0.6947], [0.7156, 0.4312, 0.1558], [0.3725, 0.7449, 0.0035], [0.9573, 0.9145, 0.5434], [0.5083, 0.0167, 0.2917], [0.4917, 0.9833, 0.7917], [0.2844, 0.5688, 0.6558], [0.6275, 0.2551, 0.5035], [0.0427, 0.0855, 0.0434], [0.6849, 0.3698, 0.8680], [0.3151, 0.6302, 0.3680], [0.7889, 0.5778, 0.5054], [0.2111, 0.4222, 0.0054], [0.4860, 0.9721, 0.4663], [0.5140, 0.0279, 0.9663]]
}

Entry 3:
{
  "formula": "Ce3W2N7",
  "functional": "PBE-GGA",
  "state": "optimized geometry",
  "space_group": "No. 65",
  "total_energy_ev_per_atom": -9.358,
  "crystal_system": "orthorhombic",
  "magmom_total_mub_per_cell": 1.71,
  "dos_at_fermi_per_ev_atom": 1.1037,
  "lattice": [[-1.6266, 1.7866, -3.0561], [-3.6625, -0.4290, 1.6985], [2.9209, 9.0369, 3.7285]],
  "species": ["Ce", "Ce", "Ce", "N", "N", "N", "N", "N", "N", "N", "W", "W"],
  "fractional_positions": [[0.5000, 0.3182, 0.6365], [0.5000, 0.5000, 0.0000], [0.5000, 0.6818, 0.3635], [0.5000, 0.1044, 0.2088], [0.0000, 0.4021, 0.8042], [0.0000, 0.7965, 0.5929], [0.0000, 0.5979, 0.1958], [0.5000, 0.8956, 0.7912], [0.0000, 0.0000, 0.0000], [0.0000, 0.2035, 0.4071], [0.0000, 0.8972, 0.7943], [0.0000, 0.1028, 0.2057]]
}

Entry 4:
{
  "formula": "Ce3W2N6",
  "functional": "PBE-GGA",
  "state": "optimized geometry",
  "space_group": "No. 139",
  "total_energy_ev_per_atom": -9.650,
  "crystal_system": "tetragonal",
  "magmom_total_mub_per_cell": 0.70,
  "dos_at_fermi_per_ev_atom": 0.9649,
  "lattice": [[-3.5386, 0.4457, 1.7920], [-0.8990, -3.7992, -0.8303], [6.0838, -1.0541, 7.8303]],
  "species": ["N", "N", "N", "N", "N", "N", "Ce", "Ce", "Ce", "W", "W"],
  "fractional_positions": [[0.9128, 0.4128, 0.8255], [0.2987, 0.2987, 0.5974], [0.5872, 0.0872, 0.1745], [0.4128, 0.9128, 0.8255], [0.0872, 0.5872, 0.1745], [0.7013, 0.7013, 0.4026], [0.1812, 0.1812, 0.3623], [0.0000, 0.0000, 0.0000], [0.8188, 0.8188, 0.6377], [0.5960, 0.5960, 0.1921], [0.4040, 0.4040, 0.8079]]
}

Entry 5:
{
  "formula": "Ce6WN8",
  "functional": "PBE-GGA",
  "state": "optimized geometry",
  "space_group": "No. 225",
  "total_energy_ev_per_atom": -8.937,
  "crystal_system": "cubic",
  "magmom_total_mub_per_cell": 2.45,
  "dos_at_fermi_per_ev_atom": 1.1971,
  "lattice": [[-1.8491, 6.5220, -1.5475], [-1.7826, 4.4057, 5.0757], [4.2024, 5.2892, 1.6479]],
  "species": ["N", "N", "N", "N", "N", "N", "N", "N", "Ce", "Ce", "Ce", "Ce", "Ce", "Ce", "W"],
  "fractional_positions": [[0.7500, 0.7500, 0.7500], [0.7850, 0.2150, 0.2150], [0.7850, 0.7850, 0.2150], [0.2150, 0.7850, 0.7850], [0.7850, 0.2150, 0.7850], [0.2500, 0.2500, 0.2500], [0.2150, 0.7850, 0.2150], [0.2150, 0.2150, 0.7850], [0.5000, 0.0000, 0.0000], [0.0000, 0.0000, 0.5000], [0.0000, 0.5000, 0.5000], [0.5000, 0.5000, 0.0000], [0.5000, 0.0000, 0.5000], [0.0000, 0.5000, 0.0000], [0.0000, 0.0000, 0.0000]]
}

Entry 6:
{
  "formula": "Ce2WN3",
  "functional": "PBE-GGA",
  "state": "optimized geometry",
  "space_group": "No. 71",
  "total_energy_ev_per_atom": -9.516,
  "crystal_system": "orthorhombic",
  "magmom_total_mub_per_cell": 0.00,
  "dos_at_fermi_per_ev_atom": 0.9003,
  "lattice": [[-2.0488, 2.3647, 1.3646], [-3.1466, -1.8300, -1.5532], [2.0398, -3.8158, 5.4054]],
  "species": ["Ce", "Ce", "W", "N", "N", "N"],
  "fractional_positions": [[0.6509, 0.6509, 0.3018], [0.3491, 0.3491, 0.6982], [0.0000, 0.0000, 0.0000], [0.0000, 0.5000, 0.0000], [0.1638, 0.1638, 0.3276], [0.8362, 0.8362, 0.6724]]
}